K3CaTc2O8 | PBE-GGA | relaxed

Output
- raw total energy (eV/atom) = -6.506
- uncorrected formation energy (eV/atom) = -1.814
- M_tot (μB/f.u.) = 3.001

a b c (Å): 6.1084 6.1084 7.7656
angles (deg): 90.00 90.00 120.00
Space group P-3m1 (No. 164)
Inequivalent atoms, fractional coordinates:
K1 0.0000 0.0000 0.0000
K2 0.3333 0.6667 0.6617
Ca1 0.0000 0.0000 0.5000
Tc1 0.3333 0.6667 0.2209
O1 0.1746 0.3491 0.3157
O2 0.3333 0.6667 0.9927